Record 1
Computed, not measured: a geometry-optimized AcDyPuPb structure at the PBE-GGA level of DFT.

Structure (POSCAR):
```
AcDyPuPb
1.0
5.607 0.000 0.000
2.804 4.856 0.000
2.804 1.619 4.578
Pb Ac Dy Pu
1 1 1 1
direct
0.750 0.750 0.750
0.250 0.250 0.250
0.500 0.500 0.500
0.000 0.000 0.000
```

density	11.199	g/cm3
space group	No. 216
final energy	-6.619	eV per atom
ΔH_f (0 K)	68	meV/atom

Record 2
Computed, not measured: a geometry-optimized AcDyRhPb structure at the PBE-GGA level of DFT.

Structure (POSCAR):
```
AcDyRhPb
1.0
-1.873 -3.777 3.361
3.381 -2.572 3.319
-0.178 0.959 5.302
Pb Ac Rh Dy
1 1 1 1
direct
0.500 0.500 0.500
0.750 0.750 0.750
0.000 0.000 0.000
0.250 0.250 0.250
```

density	10.484	g/cm3
space group	No. 216
final energy	-5.323	eV per atom
ΔH_f (0 K)	-380	meV/atom

Record 3
Computed, not measured: a geometry-optimized Ac2DyRh4Pb3 structure at the PBE-GGA level of DFT.

Structure (POSCAR):
```
Ac2DyRh4Pb3
1.0
4.550 0.000 0.000
0.000 4.550 0.000
0.000 0.000 11.872
Ac Dy Rh Pb
2 1 4 3
direct
0.500 0.000 0.237
0.000 0.500 0.763
0.500 0.500 0.500
0.500 0.500 0.000
0.000 0.000 0.000
0.500 0.000 0.645
0.000 0.500 0.355
0.000 0.000 0.500
0.500 0.000 0.875
0.000 0.500 0.125
```

density	11.146	g/cm3
space group	No. 115
final energy	-5.851	eV per atom
ΔH_f (0 K)	-516	meV/atom

Record 4
Computed, not measured: a geometry-optimized AcDyScPb structure at the PBE-GGA level of DFT.

Structure (POSCAR):
```
AcDyScPb
1.0
-4.070 -3.683 0.254
0.019 -4.351 -3.355
0.960 -5.020 2.017
Pb Sc Ac Dy
1 1 1 1
direct
0.250 0.250 0.250
0.500 0.500 0.500
0.750 0.750 0.750
0.000 0.000 0.000
```

density	9.083	g/cm3
space group	No. 216
final energy	-4.712	eV per atom
ΔH_f (0 K)	-25	meV/atom

Record 5
Computed, not measured: a geometry-optimized AcDySnPb structure at the PBE-GGA level of DFT.

Structure (POSCAR):
```
AcDySnPb
1.0
-1.174 -1.583 -5.283
1.199 -5.239 -1.706
-4.168 -3.668 -0.984
Pb Ac Sn Dy
1 1 1 1
direct
0.750 0.750 0.750
0.500 0.500 0.500
0.250 0.250 0.250
0.000 0.000 0.000
```

density	9.372	g/cm3
space group	No. 216
final energy	-4.559	eV per atom
ΔH_f (0 K)	-453	meV/atom

Record 6
Computed, not measured: a geometry-optimized AcTbDyPb structure at the PBE-GGA level of DFT.

Structure (POSCAR):
```
AcTbDyPb
1.0
5.616 0.000 0.000
2.808 4.864 0.000
2.808 1.621 4.586
Pb Ac Tb Dy
1 1 1 1
direct
0.250 0.250 0.250
0.750 0.750 0.750
0.500 0.500 0.500
0.000 0.000 0.000
```

density	10.017	g/cm3
space group	No. 216
final energy	-4.320	eV per atom
ΔH_f (0 K)	-58	meV/atom

Record 7
Computed, not measured: a geometry-optimized AcDyTePb structure at the PBE-GGA level of DFT.

Structure (POSCAR):
```
AcDyTePb
1.0
-1.246 1.608 4.166
2.525 -1.055 3.742
4.637 6.324 1.525
Ac Dy Te Pb
1 1 1 1
direct
0.691 0.691 0.928
0.198 0.198 0.407
0.452 0.452 0.644
0.936 0.936 0.192
```

density	8.585	g/cm3
space group	No. 160
uncorrected formation energy	-970	meV/atom
final energy	-4.860	eV per atom

Record 8
Computed, not measured: a geometry-optimized AcDyTlPb structure at the PBE-GGA level of DFT.

Structure (POSCAR):
```
AcDyTlPb
1.0
-3.568 -4.347 0.537
-1.158 -3.272 -4.458
1.952 -5.298 -0.199
Pb Ac Tl Dy
1 1 1 1
direct
0.500 0.500 0.500
0.750 0.750 0.750
0.000 0.000 0.000
0.250 0.250 0.250
```

density	10.432	g/cm3
space group	No. 216
final energy	-4.055	eV per atom
ΔH_f (0 K)	-359	meV/atom

Record 9
Computed, not measured: a geometry-optimized AcDyTmPb structure at the PBE-GGA level of DFT.

Structure (POSCAR):
```
AcDyTmPb
1.0
5.589 0.000 0.000
2.795 4.841 0.000
2.795 1.614 4.564
Pb Ac Tm Dy
1 1 1 1
direct
0.250 0.250 0.250
0.750 0.750 0.750
0.500 0.500 0.500
0.000 0.000 0.000
```

density	10.297	g/cm3
space group	No. 216
final energy	-4.247	eV per atom
ΔH_f (0 K)	-24	meV/atom

Record 10
Computed, not measured: a geometry-optimized AcDyYPb structure at the PBE-GGA level of DFT.

Structure (POSCAR):
```
AcDyYPb
1.0
-1.818 5.315 0.050
-1.349 2.553 -4.819
-5.376 1.141 -1.165
Pb Y Ac Dy
1 1 1 1
direct
0.250 0.250 0.250
0.000 0.000 0.000
0.750 0.750 0.750
0.500 0.500 0.500
```

density	9.080	g/cm3
space group	No. 216
final energy	-4.781	eV per atom
ΔH_f (0 K)	-60	meV/atom

Record 11
Computed, not measured: a geometry-optimized AcDyZnPb structure at the PBE-GGA level of DFT.

Structure (POSCAR):
```
AcDyZnPb
1.0
5.505 0.000 0.000
2.752 4.767 0.000
2.752 1.589 4.494
Pb Ac Zn Dy
1 1 1 1
direct
0.500 0.500 0.500
0.250 0.250 0.250
0.000 0.000 0.000
0.750 0.750 0.750
```

density	9.323	g/cm3
space group	No. 216
final energy	-3.742	eV per atom
ΔH_f (0 K)	-319	meV/atom

Record 12
Computed, not measured: a geometry-optimized AcDyPd structure at the PBE-GGA level of DFT.

Structure (POSCAR):
```
AcDyPd
1.0
-5.131 0.005 0.154
-2.666 -3.020 -3.183
-2.517 -4.079 1.838
Ac Pd Dy
1 1 1
direct
0.000 0.000 0.000
0.250 0.250 0.250
0.500 0.500 0.500
```

density	8.607	g/cm3
space group	No. 216
final energy	-5.002	eV per atom
energy above the lowest structure with this stoichiometry	0.1941	eV per atom
ΔH_f (0 K)	-368	meV/atom

Record 13
Computed, not measured: a geometry-optimized AcDy3Pd structure at the PBE-GGA level of DFT.

Structure (POSCAR):
```
AcDy3Pd
1.0
-5.509 0.353 0.434
0.341 -1.287 5.375
0.444 5.374 1.259
Ac Pd Dy
1 1 3
direct
0.500 0.500 0.500
0.000 0.000 0.000
0.000 0.500 0.000
0.000 0.000 0.500
0.500 0.000 0.000
```

density	8.028	g/cm3
space group	No. 221
final energy	-4.842	eV per atom
ΔH_f (0 K)	-220	meV/atom

Record 14
Computed, not measured: a geometry-optimized AcDyPd structure at the PBE-GGA level of DFT.

Structure (POSCAR):
```
AcDyPd
1.0
-1.300 -3.676 -2.329
4.038 0.228 -2.613
-0.086 -2.554 4.080
Ac Pd Dy
1 1 1
direct
0.032 0.000 0.000
0.430 0.333 0.667
0.538 0.667 0.333
```

density	9.032	g/cm3
space group	No. 156
final energy	-5.016	eV per atom
energy above the lowest structure with this stoichiometry	0.1798	eV per atom
ΔH_f (0 K)	-382	meV/atom

Record 15
Computed, not measured: a geometry-optimized AcDy2Pd structure at the PBE-GGA level of DFT.

Structure (POSCAR):
```
AcDy2Pd
1.0
-2.166 -2.805 -5.627
6.080 -4.090 -0.302
-4.552 -7.161 5.323
Ac Dy Pd
4 8 4
direct
0.642 0.522 0.250
0.858 0.022 0.250
0.358 0.478 0.750
0.142 0.978 0.750
0.168 0.677 0.064
0.332 0.177 0.436
0.832 0.323 0.564
0.668 0.823 0.936
0.832 0.323 0.936
0.668 0.823 0.564
0.168 0.677 0.436
0.332 0.177 0.064
0.093 0.387 0.250
0.407 0.887 0.250
0.907 0.613 0.750
0.593 0.113 0.750
```

density	8.952	g/cm3
space group	No. 62
final energy	-5.058	eV per atom
energy above the lowest structure with this stoichiometry	0.0000	eV per atom
ΔH_f (0 K)	-432	meV/atom

Record 16
Computed, not measured: a geometry-optimized AcDy2Pd structure at the PBE-GGA level of DFT.

Structure (POSCAR):
```
AcDy2Pd
1.0
3.637 0.000 0.000
0.000 3.637 0.000
0.000 0.000 8.928
Ac Pd Dy
1 1 2
direct
0.500 0.500 0.500
0.500 0.500 0.000
0.000 0.000 0.817
0.000 0.000 0.183
```

density	9.257	g/cm3
space group	No. 123
final energy	-5.017	eV per atom
energy above the lowest structure with this stoichiometry	0.0416	eV per atom
ΔH_f (0 K)	-391	meV/atom

Record 17
Computed, not measured: a geometry-optimized AcDyPd structure at the PBE-GGA level of DFT.

Structure (POSCAR):
```
AcDyPd
1.0
-0.647 1.031 -6.466
-7.309 -5.177 -0.095
-0.024 7.366 1.177
Ac Dy Pd
4 4 4
direct
0.364 0.138 0.781
0.636 0.862 0.219
0.864 0.362 0.719
0.136 0.638 0.281
0.845 0.202 0.123
0.655 0.702 0.623
0.155 0.798 0.877
0.345 0.298 0.377
0.406 0.522 0.833
0.594 0.478 0.167
0.094 0.022 0.333
0.906 0.978 0.667
```

density	9.117	g/cm3
space group	No. 14
final energy	-5.196	eV per atom
energy above the lowest structure with this stoichiometry	0.0000	eV per atom
ΔH_f (0 K)	-562	meV/atom

Record 18
Computed, not measured: a geometry-optimized Ac3DyPd12 structure at the PBE-GGA level of DFT.

Structure (POSCAR):
```
Ac3DyPd12
1.0
4.269 0.000 0.000
0.000 4.269 0.000
0.000 0.000 17.060
Ac Dy Pd
3 1 12
direct
0.000 0.000 0.243
0.000 0.000 0.500
0.000 0.000 0.757
0.000 0.000 0.000
0.500 0.500 0.000
0.500 0.500 0.245
0.500 0.500 0.500
0.500 0.500 0.755
0.500 0.000 0.116
0.500 0.000 0.372
0.500 0.000 0.628
0.500 0.000 0.884
0.000 0.500 0.116
0.000 0.500 0.372
0.000 0.500 0.628
0.000 0.500 0.884
```

density	11.324	g/cm3
space group	No. 123
final energy	-5.714	eV per atom
ΔH_f (0 K)	-762	meV/atom

Record 19
Computed, not measured: a geometry-optimized AcDy2Pd structure at the PBE-GGA level of DFT.

Structure (POSCAR):
```
AcDy2Pd
1.0
4.043 0.000 0.000
2.022 3.501 0.000
2.022 1.167 9.275
Ac Dy Pd
1 2 1
direct
0.502 0.502 0.494
0.056 0.056 0.831
0.276 0.276 0.171
0.666 0.666 0.003
```

density	8.326	g/cm3
space group	No. 160
final energy	-4.956	eV per atom
energy above the lowest structure with this stoichiometry	0.1029	eV per atom
ΔH_f (0 K)	-329	meV/atom

Record 20
Computed, not measured: a geometry-optimized AcDyPd structure at the PBE-GGA level of DFT.

Structure (POSCAR):
```
AcDyPd
1.0
3.708 0.000 0.000
0.000 3.708 0.000
-1.854 -1.854 6.444
Ac Pd Dy
1 1 1
direct
0.022 0.022 0.044
0.685 0.685 0.370
0.293 0.293 0.586
```

density	9.292	g/cm3
space group	No. 107
final energy	-5.116	eV per atom
energy above the lowest structure with this stoichiometry	0.0801	eV per atom
ΔH_f (0 K)	-482	meV/atom

Record 21
Computed, not measured: a geometry-optimized Ac2Dy3Pd2 structure at the PBE-GGA level of DFT.

Structure (POSCAR):
```
Ac2Dy3Pd2
1.0
3.751 0.000 1.054
1.394 6.162 2.241
-0.453 -0.271 8.812
Ac Dy Pd
2 3 2
direct
0.154 0.496 0.195
0.846 0.504 0.805
0.500 0.000 0.000
0.381 0.801 0.437
0.619 0.199 0.563
0.158 0.923 0.760
0.842 0.077 0.240
```

density	9.193	g/cm3
space group	No. 12
final energy	-5.130	eV per atom
ΔH_f (0 K)	-500	meV/atom

Record 22
Computed, not measured: a geometry-optimized AcDyPd structure at the PBE-GGA level of DFT.

Structure (POSCAR):
```
AcDyPd
1.0
-5.295 -2.459 1.669
0.996 -8.241 2.067
-1.219 0.847 8.424
Dy Pd Ac
4 4 4
direct
0.172 0.000 0.656
0.828 0.344 0.000
0.828 0.000 0.344
0.172 0.656 0.000
0.000 0.355 0.645
0.645 0.355 0.355
0.355 0.645 0.645
0.000 0.645 0.355
0.500 0.266 0.734
0.234 0.266 0.266
0.766 0.734 0.734
0.500 0.734 0.266
```

density	8.482	g/cm3
space group	No. 139
final energy	-4.982	eV per atom
energy above the lowest structure with this stoichiometry	0.2145	eV per atom
ΔH_f (0 K)	-347	meV/atom

Record 23
Computed, not measured: a geometry-optimized AcDy2Pd structure at the PBE-GGA level of DFT.

Structure (POSCAR):
```
AcDy2Pd
1.0
-0.478 0.535 -3.927
2.966 -0.908 -2.513
-2.546 -8.957 -2.939
Ac Pd Dy
1 1 2
direct
0.500 0.500 0.500
0.000 0.000 0.000
0.277 0.277 0.170
0.723 0.723 0.830
```

density	8.350	g/cm3
space group	No. 166
final energy	-4.937	eV per atom
energy above the lowest structure with this stoichiometry	0.1213	eV per atom
ΔH_f (0 K)	-311	meV/atom

Record 24
Computed, not measured: a geometry-optimized AcDyPdPt structure at the PBE-GGA level of DFT.

Structure (POSCAR):
```
AcDyPdPt
1.0
-0.513 -2.920 4.238
1.524 -4.942 -0.064
4.189 -1.449 2.665
Ac Pd Pt Dy
1 1 1 1
direct
0.500 0.500 0.500
0.750 0.750 0.750
0.250 0.250 0.250
0.000 0.000 0.000
```

density	11.731	g/cm3
space group	No. 216
final energy	-5.876	eV per atom
energy above the lowest structure with this stoichiometry	0.0000	eV per atom
ΔH_f (0 K)	-890	meV/atom

Record 25
Computed, not measured: a geometry-optimized AcDyPdPt structure at the PBE-GGA level of DFT.

Structure (POSCAR):
```
AcDyPdPt
1.0
-2.355 0.099 -3.853
-3.447 -2.075 2.054
-4.150 9.651 2.784
Ac Dy Pd Pt
2 2 2 2
direct
0.000 0.500 0.826
0.500 0.000 0.174
0.000 0.000 0.500
0.500 0.500 0.500
0.500 0.000 0.901
0.000 0.500 0.099
0.000 0.500 0.343
0.500 0.000 0.657
```

density	10.348	g/cm3
space group	No. 129
final energy	-5.766	eV per atom
energy above the lowest structure with this stoichiometry	0.1093	eV per atom
ΔH_f (0 K)	-780	meV/atom

Record 26
Computed, not measured: a geometry-optimized Ac2DyPdS5 structure at the PBE-GGA level of DFT.

Structure (POSCAR):
```
Ac2DyPdS5
1.0
-0.391 3.434 2.048
1.900 -5.856 6.242
12.121 2.296 -1.536
Ac Dy Pd S
4 2 2 10
direct
0.884 0.769 0.844
0.125 0.250 0.696
0.116 0.231 0.344
0.875 0.750 0.196
0.822 0.644 0.522
0.178 0.356 0.022
0.551 0.102 0.928
0.449 0.898 0.428
0.339 0.679 0.019
0.695 0.390 0.866
0.500 0.999 0.748
0.307 0.613 0.677
0.983 0.965 0.524
0.661 0.321 0.519
0.305 0.610 0.366
0.500 0.001 0.248
0.693 0.387 0.177
0.017 0.035 0.024
```

density	6.882	g/cm3
space group	No. 36
uncorrected formation energy	-1794	meV/atom
final energy	-6.088	eV per atom